# Fe3CoF (PBE+U, optimized geometry)
data_Fe3CoF
_chemical_formula_sum 'Fe3 Co1 F1'
_cell_length_a 4.227
_cell_length_b 4.227
_cell_length_c 4.227
_cell_angle_alpha 90.00
_cell_angle_beta 90.00
_cell_angle_gamma 90.00
_space_group_name_H-M_alt 'P 1'
_space_group_IT_number 1
_space_group_name_Hall 'P 1'
loop_
_atom_site_label
_atom_site_type_symbol
_atom_site_fract_x
_atom_site_fract_y
_atom_site_fract_z
Fe1 Fe 0.000 0.000 0.500
Fe2 Fe 0.000 0.500 0.000
Fe3 Fe 0.500 0.000 0.000
Co1 Co 0.500 0.500 0.500
F1 F 0.000 0.000 0.000
# Density   5.397 g cm⁻³
# ΔE to the lowest computed polymorph   0 meV/atom
# Symmetry   Pm-3m (221)
# Total energy   -20.8 eV per cell